[1]
Compound: Rb3La2ThTe6
Source: Alexandria via LeMat-Bulk
Functional: PBE
Structure: relaxed

The electronic total energy is -4.629 eV per atom. The formation energy from raw total energies is -132.8 kJ per mole of atoms.

a = 8.080 Å, b = 8.080 Å, c = 9.021 Å
α = 98.59°, β = 98.59°, γ = 120.00°
Fractional coordinates of all 12 atoms:
Te 0.606 0.931 0.792
Te 0.745 0.745 0.209
Th 0.000 0.000 0.000
Te 0.394 0.069 0.208
Rb 0.831 0.169 0.500
Te 0.069 0.394 0.208
Te 0.931 0.606 0.792
Te 0.255 0.255 0.791
Rb 0.169 0.831 0.500
La 0.334 0.666 0.000
Rb 0.500 0.500 0.500
La 0.666 0.334 0.000

[2]
Compound: Rb4LaTh3Te8
Source: Alexandria via LeMat-Bulk
Functional: PBE
Structure: relaxed

The electronic total energy is -4.749 eV per atom. The formation energy from raw total energies is -119.4 kJ per mole of atoms.

a = 9.118 Å, b = 10.208 Å, c = 9.117 Å
α = 116.53°, β = 120.00°, γ = 90.00°
Fractional coordinates of all 16 atoms:
Te 0.736 0.709 0.473
Te 0.760 0.290 0.520
Rb 0.000 0.000 0.000
Rb 0.500 0.000 0.000
Te 0.264 0.291 0.527
Te 0.760 0.290 0.029
La 0.000 0.500 0.000
Rb 0.500 0.000 0.500
Te 0.269 0.290 0.029
Te 0.240 0.710 0.480
Th 0.500 0.500 0.000
Te 0.240 0.710 0.971
Th 0.000 0.500 0.500
Th 0.500 0.500 0.500
Te 0.731 0.710 0.971
Rb 0.000 0.000 0.500

[3]
Compound: Rb4La3ThTe8
Source: Alexandria via LeMat-Bulk
Functional: PBE
Structure: relaxed

The electronic total energy is -4.604 eV per atom. The formation energy from raw total energies is -135.5 kJ per mole of atoms.

a = 9.373 Å, b = 10.150 Å, c = 9.373 Å
α = 117.51°, β = 120.00°, γ = 90.00°
Fractional coordinates of all 16 atoms:
La 0.500 0.500 0.500
Te 0.232 0.707 0.463
Rb 0.000 0.000 0.000
Te 0.264 0.291 0.527
Rb 0.500 0.000 0.000
Te 0.736 0.709 0.473
Te 0.256 0.293 0.024
Th 0.000 0.500 0.000
La 0.500 0.500 0.000
La 0.000 0.500 0.500
Te 0.768 0.293 0.537
Rb 0.000 0.000 0.500
Rb 0.500 0.000 0.500
Te 0.768 0.293 0.024
Te 0.744 0.707 0.976
Te 0.232 0.707 0.976

[4]
Compound: Rb2LaThTe4
Source: Alexandria via LeMat-Bulk
Functional: PBE
Structure: relaxed

The electronic total energy is -4.674 eV per atom. The formation energy from raw total energies is -127.2 kJ per mole of atoms.

a = 4.611 Å, b = 8.031 Å, c = 9.050 Å
α = 106.99°, β = 90.00°, γ = 90.00°
Fractional coordinates of all 8 atoms:
Rb 0.000 0.500 0.500
Rb 0.500 0.000 0.500
La 0.500 0.500 0.000
Th 0.000 0.000 0.000
Te 0.500 0.770 0.792
Te 0.500 0.230 0.208
Te 0.000 0.256 0.790
Te 0.000 0.744 0.210

[5]
Compound: Rb3LaTh2Te6
Source: Alexandria via LeMat-Bulk
Functional: PBE
Structure: relaxed

The electronic total energy is -4.724 eV per atom. The formation energy from raw total energies is -122.0 kJ per mole of atoms.

a = 7.932 Å, b = 7.932 Å, c = 9.109 Å
α = 98.35°, β = 98.35°, γ = 120.00°
Fractional coordinates of all 12 atoms:
Rb 0.836 0.164 0.500
Th 0.333 0.667 0.000
Rb 0.500 0.500 0.500
Rb 0.164 0.836 0.500
Te 0.271 0.271 0.791
Th 0.667 0.333 0.000
Te 0.589 0.930 0.790
La 0.000 0.000 0.000
Te 0.070 0.411 0.210
Te 0.930 0.589 0.790
Te 0.729 0.729 0.209
Te 0.411 0.070 0.210

[6]
Compound: Rb4La3TmTe8
Source: Alexandria via LeMat-Bulk
Functional: PBE
Structure: relaxed

The electronic total energy is -4.469 eV per atom. The formation energy from raw total energies is -140.1 kJ per mole of atoms.

a = 9.359 Å, b = 10.112 Å, c = 9.359 Å
α = 117.60°, β = 120.00°, γ = 90.00°
Fractional coordinates of all 16 atoms:
La 0.500 0.500 0.500
Te 0.228 0.702 0.456
Te 0.747 0.702 0.975
Te 0.736 0.708 0.472
La 0.000 0.500 0.500
La 0.500 0.500 0.000
Te 0.772 0.298 0.544
Te 0.772 0.298 0.025
Te 0.253 0.298 0.025
Tm 0.000 0.500 0.000
Rb 0.500 0.000 0.500
Rb 0.000 0.000 0.000
Rb 0.500 0.000 0.000
Te 0.264 0.292 0.528
Rb 0.000 0.000 0.500
Te 0.228 0.702 0.975

[7]
Compound: Rb2LaTmTe4
Source: Alexandria via LeMat-Bulk
Functional: PBE
Structure: relaxed

The electronic total energy is -4.404 eV per atom. The formation energy from raw total energies is -136.6 kJ per mole of atoms.

a = 4.612 Å, b = 8.001 Å, c = 8.950 Å
α = 107.27°, β = 90.00°, γ = 90.00°
Fractional coordinates of all 8 atoms:
Tm 0.000 0.000 0.000
Te 0.500 0.779 0.802
Te 0.000 0.748 0.204
Rb 0.000 0.500 0.500
Rb 0.500 0.000 0.500
Te 0.500 0.221 0.198
Te 0.000 0.252 0.796
La 0.500 0.500 0.000

[8]
Compound: Rb3LaTm2Te6
Source: Alexandria via LeMat-Bulk
Functional: PBE
Structure: relaxed

The electronic total energy is -4.366 eV per atom. The formation energy from raw total energies is -134.8 kJ per mole of atoms.

a = 7.918 Å, b = 7.918 Å, c = 8.943 Å
α = 98.51°, β = 98.51°, γ = 120.01°
Fractional coordinates of all 12 atoms:
Te 0.586 0.933 0.800
La 0.000 0.000 0.000
Rb 0.163 0.837 0.500
Rb 0.500 0.500 0.500
Te 0.414 0.067 0.200
Tm 0.667 0.333 0.000
Tm 0.333 0.667 0.000
Te 0.719 0.719 0.199
Rb 0.837 0.163 0.500
Te 0.933 0.586 0.800
Te 0.281 0.281 0.801
Te 0.067 0.414 0.200